VASP calculation (SCAN) on YTlZn2 at its PBEsol-relaxed geometry.

The structure belongs to space group P4/mmm (No. 123); the cell edges are 4.442, 4.442 and 4.127 Å and the angles 90.00°, 90.00° and 90.00°. Symmetry generates all atoms from Y at (0.000, 0.000, 0.000), Tl at (0.500, 0.500, 0.000) and Zn at (0.000, 0.500, 0.500).

As for the density of states at the Fermi level: 0.546 states/eV/atom. As for the energy relative to the elements: -0.293 eV/atom. Its volume is 20.36 Å³ per atom.